Ce4Pr9In11: relaxed, PBE-GGA.

Unit cell a=3.5595 b=14.1035 c=14.1035 alpha=97.23 beta=90.00 gamma=90.00
With the nearest neighbours (Å) after each atom.
Sites, in units of the cell vectors:
1 In 0.0000 0.1731 0.8269  8 Pr 3.36-3.40, 3 In 3.56-3.66
2 Pr 0.5000 0.0306 0.2071  8 In 3.36-3.44, 4 Pr 3.56-3.74
3 In 0.0000 0.0000 0.0000  8 Pr 3.40, 4 In 3.56-3.66
4 Pr 0.5000 0.6196 0.1430  1 Ce 3.36, 8 In 3.40-3.51, 3 Pr 3.56-3.67
5 Ce 0.5000 0.5659 0.7290  2 Pr 3.25-3.36, 6 In 3.30-3.51, 3 Ce 3.45-3.56
6 Pr 0.5000 0.7929 0.9694  8 In 3.36-3.44, 4 Pr 3.56-3.74
7 In 0.0000 0.8269 0.1731  8 Pr 3.36-3.40, 3 In 3.56-3.66
8 Pr 0.5000 0.5000 0.5000  4 Ce 3.25, 4 In 3.48, 2 Pr 3.56
9 In 0.0000 0.7642 0.7642  4 Ce 3.30, 4 Pr 3.38, 4 In 3.56-3.68
10 In 0.0000 0.9307 0.5830  3 In 3.23-3.56, 2 Ce 3.34, 6 Pr 3.42-3.47
11 In 0.0000 0.0693 0.4170  3 In 3.23-3.56, 2 Ce 3.34, 6 Pr 3.42-3.47
12 Pr 0.5000 0.2071 0.0306  8 In 3.36-3.44, 4 Pr 3.56-3.74
13 Pr 0.5000 0.9694 0.7929  8 In 3.36-3.44, 4 Pr 3.56-3.74
14 In 0.0000 0.4170 0.0693  3 In 3.23-3.56, 2 Ce 3.34, 6 Pr 3.42-3.47
15 Pr 0.5000 0.8570 0.3804  1 Ce 3.36, 8 In 3.40-3.51, 3 Pr 3.56-3.67
16 In 0.0000 0.3588 0.6412  6 Pr 3.48-3.51, 4 Ce 3.51, 2 In 3.56
17 Ce 0.5000 0.4341 0.2710  2 Pr 3.25-3.36, 6 In 3.30-3.51, 3 Ce 3.45-3.56
18 Pr 0.5000 0.3804 0.8570  1 Ce 3.36, 8 In 3.40-3.51, 3 Pr 3.56-3.67
19 Ce 0.5000 0.7290 0.5659  2 Pr 3.25-3.36, 6 In 3.30-3.51, 3 Ce 3.45-3.56
20 Pr 0.5000 0.1430 0.6196  1 Ce 3.36, 8 In 3.40-3.51, 3 Pr 3.56-3.67
21 In 0.0000 0.5830 0.9307  3 In 3.23-3.56, 2 Ce 3.34, 6 Pr 3.42-3.47
22 Ce 0.5000 0.2710 0.4341  2 Pr 3.25-3.36, 6 In 3.30-3.51, 3 Ce 3.45-3.56
23 In 0.0000 0.6412 0.3588  6 Pr 3.48-3.51, 4 Ce 3.51, 2 In 3.56
24 In 0.0000 0.2358 0.2358  4 Ce 3.30, 4 Pr 3.38, 4 In 3.56-3.68

Summary:
space-group type = Cmmm (65)
energy relative to the elements = -0.37 eV/atom

---

TlPAu2S4: relaxed, PBE-GGA.

Unit cell a=6.1573 b=6.5932 c=6.5932 alpha=78.36 beta=62.16 gamma=62.16
With the nearest neighbours (Å) after each atom.
Sites, in units of the cell vectors:
1 S 0.3385 0.1980 0.4907  1 P 2.09
2 S 0.6615 0.5093 0.8020  1 P 2.09
3 S 0.0272 0.8020 0.5093  1 P 2.09
4 Au 0.5000 0.6771 0.3229  2 S 2.34
5 P 0.0000 0.5000 0.5000  4 S 2.09
6 S 0.9728 0.4907 0.1980  1 P 2.09
7 Tl 0.0000 0.0000 0.0000  8 S 3.40-3.63
8 Au 0.5000 0.3229 0.6771  2 S 2.34

Summary:
raw formation energy = -164 kJ/mol of formula units
space-group type = I222 (23)

---

| no. | calculated volume (Å³/atom) |
| --- | --- |
| 1 | 29.27 |
| 2 | 26.16 |